Entry 1:
DFT (PBE) results for crystalline Pr5Nd12Tm2 at its relaxed geometry.

Summary:
- E_form: 0.13 eV per atom

```
data_Pr5Nd12Tm2
_cell_length_a 7.217
_cell_length_b 8.867
_cell_length_c 11.903
_cell_angle_alpha 109.56
_cell_angle_beta 107.65
_cell_angle_gamma 90.00
_space_group_name_H-M_alt 'P 1'
_space_group_IT_number 1
loop_
_space_group_symop_operation_xyz
'x,y,z'
loop_
_atom_site_label
_atom_site_fract_x
_atom_site_fract_y
_atom_site_fract_z
Nd1 0.454 0.794 0.403
Nd2 0.860 0.947 0.720
Nd3 0.849 0.383 0.210
Pr1 0.000 0.500 0.000
Nd4 0.548 0.696 0.097
Pr2 0.649 0.095 0.298
Nd5 0.452 0.304 0.903
Nd6 0.151 0.617 0.790
Nd7 0.051 0.206 0.597
Nd8 0.949 0.794 0.403
Pr3 0.248 0.488 0.496
Pr4 0.351 0.905 0.702
Nd9 0.638 0.617 0.790
Nd10 0.362 0.383 0.210
Nd11 0.546 0.206 0.597
Tm1 0.741 0.000 0.000
Nd12 0.140 0.053 0.280
Pr5 0.752 0.512 0.504
Tm2 0.259 0.000 0.000
```


Entry 2:
DFT (PBE) results for crystalline CaH3Pt at its relaxed geometry.

Summary:
- Total DFT energy (no corrections): -3.83 eV/atom

```
data_CaH3Pt
_cell_length_a 3.001
_cell_length_b 5.583
_cell_length_c 5.583
_cell_angle_alpha 135.05
_cell_angle_beta 90.00
_cell_angle_gamma 90.00
_space_group_name_H-M_alt 'P 1'
_space_group_IT_number 1
loop_
_space_group_symop_operation_xyz
'x,y,z'
loop_
_atom_site_label
_atom_site_fract_x
_atom_site_fract_y
_atom_site_fract_z
H1 0.000 0.256 0.744
H2 0.500 0.182 0.349
Pt1 0.000 0.429 0.571
H3 0.500 0.651 0.818
Ca1 0.500 0.111 0.889
```


- What is the formula in the first record?
  Pr5Nd12Tm2